Run one
Computed, not measured: a relaxed Na3CuSn crystal at the PBE-GGA level of DFT.

Unit cell a=5.3155 b=5.3155 c=5.3155 alpha=90.00 beta=90.00 gamma=90.00
Fractional coordinates of all 5 atoms:
Na 0.0000 0.5000 0.0000
Na 0.0000 0.0000 0.5000
Na 0.5000 0.0000 0.0000
Sn 0.5000 0.5000 0.5000
Cu 0.0000 0.0000 0.0000

Calculated values
N(E_F): 0.584 states/eV per atom
Space-group type: Pm-3m (221)

Run two
Computed, not measured: a relaxed Na3CuSn crystal at the PBE-GGA level of DFT.

Unit cell a=5.8762 b=5.8762 c=5.8762 alpha=90.00 beta=90.00 gamma=90.00
Each line ends with the local moment (μB).
Fractional coordinates of all 5 atoms:
Na 0.0000 0.5000 0.0000  0.01
Na 0.0000 0.0000 0.5000  0.03
Na 0.5000 0.0000 0.0000  0.01
Sn 0.0000 0.0000 0.0000  0.40
Cu 0.5000 0.5000 0.5000  0.04

Calculated values
N(E_F): 0.822 states/eV per atom
Space-group type: Pm-3m (221)

The least stable of them is run two.

Run one
Computed, not measured: a relaxed NaCu3Sn3 crystal at the PBE-GGA level of DFT.

Unit cell a=7.2468 b=7.2468 c=7.2468 alpha=90.00 beta=90.00 gamma=90.00
Fractional coordinates of all 14 atoms:
Na 0.5000 0.5000 0.5000
Na 0.0000 0.0000 0.0000
Sn 0.2500 0.0000 0.5000
Sn 0.0000 0.5000 0.2500
Sn 0.5000 0.7500 0.0000
Sn 0.7500 0.0000 0.5000
Sn 0.0000 0.5000 0.7500
Sn 0.5000 0.2500 0.0000
Cu 0.0000 0.2500 0.5000
Cu 0.0000 0.7500 0.5000
Cu 0.5000 0.0000 0.7500
Cu 0.7500 0.5000 0.0000
Cu 0.5000 0.0000 0.2500
Cu 0.2500 0.5000 0.0000

Calculated values
N(E_F): 0.769 states/eV per atom
Space-group type: Pm-3n (223)

Run two
Computed, not measured: a relaxed NaCu3Sn3 crystal at the PBE-GGA level of DFT.

Unit cell a=7.0444 b=7.0444 c=8.5045 alpha=65.53 beta=65.53 gamma=60.00
Fractional coordinates of all 14 atoms:
Na 0.3363 0.3363 0.9911
Na 0.6637 0.6637 0.0089
Cu 0.4710 0.6552 0.6402
Cu 0.6552 0.2336 0.6402
Cu 0.2336 0.4710 0.6402
Cu 0.7664 0.5290 0.3598
Cu 0.3448 0.7664 0.3598
Cu 0.5290 0.3448 0.3598
Sn 0.1201 0.5996 0.3034
Sn 0.9769 0.1201 0.3034
Sn 0.5996 0.9769 0.3034
Sn 0.4004 0.0231 0.6966
Sn 0.0231 0.8799 0.6966
Sn 0.8799 0.4004 0.6966

Calculated values
N(E_F): 0.253 states/eV per atom
Space-group type: R-3 (148)

The least stable of them is run one.

Run one
Computed, not measured: a relaxed Na6CuSn2 crystal at the PBE-GGA level of DFT.

Unit cell a=5.4316 b=5.4316 c=10.4024 alpha=74.87 beta=74.87 gamma=60.00
Fractional coordinates of all 9 atoms:
Na 0.5763 0.5763 0.2711
Na 0.8074 0.8074 0.5779
Na 0.6965 0.6965 0.9106
Na 0.1926 0.1926 0.4221
Na 0.4237 0.4237 0.7289
Na 0.3035 0.3035 0.0894
Cu 0.0000 0.0000 0.0000
Sn 0.9153 0.9153 0.2541
Sn 0.0847 0.0847 0.7459

Calculated values
N(E_F): 0.335 states/eV per atom
Space-group type: R-3m (166)

Run two
Computed, not measured: a relaxed Na6CuSn2 crystal at the PBE-GGA level of DFT.

Unit cell a=3.6751 b=9.1066 c=9.1066 alpha=123.37 beta=83.53 gamma=83.53
Fractional coordinates of all 9 atoms:
Na 0.7823 0.4933 0.1472
Na 0.2177 0.5067 0.8528
Na 0.6888 0.6930 0.6930
Na 0.7823 0.1472 0.4933
Na 0.2177 0.8528 0.5067
Na 0.3112 0.3070 0.3070
Cu 0.0000 0.0000 0.0000
Sn 0.5000 0.8732 0.1268
Sn 0.5000 0.1268 0.8732

Calculated values
N(E_F): 0.237 states/eV per atom
Space-group type: C2/m (12)

The least stable of them is run two.

Run one
Computed, not measured: a relaxed Na2SrCu2 crystal at the PBE-GGA level of DFT.

Unit cell a=7.6936 b=7.6936 c=4.5956 alpha=90.00 beta=90.00 gamma=90.00
Fractional coordinates of all 10 atoms:
Sr 0.0000 0.0000 0.0000
Sr 0.5000 0.5000 0.0000
Cu 0.3894 0.8894 0.0000
Cu 0.8894 0.6106 0.0000
Cu 0.6106 0.1106 0.0000
Cu 0.1106 0.3894 0.0000
Na 0.1558 0.6558 0.5000
Na 0.6558 0.8442 0.5000
Na 0.8442 0.3442 0.5000
Na 0.3442 0.1558 0.5000

Calculated values
N(E_F): 0.239 states/eV per atom
Space-group type: P4/mbm (127)

Run two
Computed, not measured: a relaxed Na2SrCu2 crystal at the PBE-GGA level of DFT.

Unit cell a=4.4024 b=4.4024 c=7.3957 alpha=72.68 beta=72.68 gamma=90.00
Fractional coordinates of all 5 atoms:
Sr 0.0000 0.0000 0.0000
Cu 0.4114 0.4114 0.1772
Cu 0.5886 0.5886 0.8228
Na 0.7500 0.2500 0.5000
Na 0.2500 0.7500 0.5000

Calculated values
N(E_F): 0.506 states/eV per atom
Space-group type: I4/mmm (139)

Run three
Computed, not measured: a relaxed Na2SrCu2 crystal at the PBE-GGA level of DFT.

Unit cell a=8.4876 b=8.4876 c=3.4283 alpha=90.00 beta=90.00 gamma=90.00
Fractional coordinates of all 10 atoms:
Sr 0.0000 0.0000 0.0000
Sr 0.5000 0.5000 0.0000
Cu 0.1830 0.6830 0.5000
Cu 0.6830 0.8170 0.5000
Cu 0.8170 0.3170 0.5000
Cu 0.3170 0.1830 0.5000
Na 0.3822 0.8822 0.0000
Na 0.8822 0.6178 0.0000
Na 0.6178 0.1178 0.0000
Na 0.1178 0.3822 0.0000

Calculated values
N(E_F): 0.532 states/eV per atom
Space-group type: P4/mbm (127)

The least stable of them is run three.

Run one
Computed, not measured: a relaxed NaSr3Cu crystal at the PBE-GGA level of DFT.

Unit cell a=6.3729 b=6.3729 c=6.3729 alpha=90.00 beta=90.00 gamma=90.00
Fractional coordinates of all 5 atoms:
Sr 0.0000 0.5000 0.0000
Sr 0.0000 0.0000 0.5000
Sr 0.5000 0.0000 0.0000
Cu 0.5000 0.5000 0.5000
Na 0.0000 0.0000 0.0000

Calculated values
N(E_F): 0.683 states/eV per atom
Space-group type: Pm-3m (221)

Run two
Computed, not measured: a relaxed NaSr3Cu crystal at the PBE-GGA level of DFT.

Unit cell a=6.0667 b=6.0667 c=6.0667 alpha=90.00 beta=90.00 gamma=90.00
Fractional coordinates of all 5 atoms:
Sr 0.0000 0.5000 0.0000
Sr 0.0000 0.0000 0.5000
Sr 0.5000 0.0000 0.0000
Cu 0.0000 0.0000 0.0000
Na 0.5000 0.5000 0.5000

Calculated values
N(E_F): 0.763 states/eV per atom
Space-group type: Pm-3m (221)

The least stable of them is run one.

Run one
Computed, not measured: a relaxed NaSrCu crystal at the PBE-GGA level of DFT.

Unit cell a=4.3370 b=4.3437 c=10.2906 alpha=77.82 beta=90.00 gamma=90.00
Fractional coordinates of all 6 atoms:
Cu 0.7500 0.4695 0.0610
Cu 0.2500 0.5305 0.9390
Na 0.7500 0.2957 0.4085
Na 0.2500 0.7043 0.5915
Sr 0.7500 0.0845 0.8311
Sr 0.2500 0.9155 0.1689

Calculated values
N(E_F): 0.569 states/eV per atom
Space-group type: Cmcm (63)

Run two
Computed, not measured: a relaxed NaSrCu crystal at the PBE-GGA level of DFT.

Unit cell a=5.1653 b=5.1653 c=5.1653 alpha=60.00 beta=60.00 gamma=60.00
Fractional coordinates of all 3 atoms:
Sr 0.5000 0.5000 0.5000
Cu 0.2500 0.2500 0.2500
Na 0.0000 0.0000 0.0000

Calculated values
N(E_F): 0.479 states/eV per atom
Space-group type: F-43m (216)

Run three
Computed, not measured: a relaxed NaSrCu crystal at the PBE-GGA level of DFT.

Unit cell a=3.8425 b=3.8425 c=6.7270 alpha=106.59 beta=106.59 gamma=90.00
Fractional coordinates of all 3 atoms:
Sr 0.0296 0.0296 0.0591
Cu 0.6675 0.6675 0.3350
Na 0.3029 0.3029 0.6059

Calculated values
N(E_F): 0.590 states/eV per atom
Space-group type: I4mm (107)

The least stable of them is run three.

Run one
Computed, not measured: a relaxed Na2Sr4Cu crystal at the PBE-GGA level of DFT.

Unit cell a=4.3052 b=7.4414 c=10.4799 alpha=106.67 beta=90.00 gamma=90.00
Fractional coordinates of all 7 atoms:
Na 0.5000 0.6788 0.4995
Na 0.5000 0.1784 0.5006
Sr 0.5000 0.0757 0.8532
Sr 0.0000 0.5469 0.7890
Sr 0.5000 0.7815 0.1469
Sr 0.0000 0.3103 0.2111
Cu 0.0000 0.9286 0.0001

Calculated values
N(E_F): 0.767 states/eV per atom
Space-group type: P2/m (10)

Run two
Computed, not measured: a relaxed Na2Sr4Cu crystal at the PBE-GGA level of DFT.

Unit cell a=5.9178 b=5.9178 c=10.3969 alpha=73.47 beta=73.47 gamma=90.00
Fractional coordinates of all 7 atoms:
Sr 0.8350 0.8350 0.3300
Sr 0.1650 0.1650 0.6700
Sr 0.0000 0.5000 0.0000
Sr 0.5000 0.0000 0.0000
Cu 0.0000 0.0000 0.0000
Na 0.6346 0.6346 0.7309
Na 0.3654 0.3654 0.2691

Calculated values
N(E_F): 0.843 states/eV per atom
Space-group type: I4/mmm (139)

The least stable of them is run two.

Run one
Computed, not measured: a relaxed NaCuTc3 crystal at the PBE-GGA level of DFT.

Unit cell a=4.5680 b=4.5680 c=4.5680 alpha=90.00 beta=90.00 gamma=90.00
Each line ends with the local moment (μB).
Fractional coordinates of all 5 atoms:
Na 0.5000 0.5000 0.5000  -0.01
Tc 0.0000 0.5000 0.0000  0.58
Tc 0.0000 0.0000 0.5000  0.74
Tc 0.5000 0.0000 0.0000  0.61
Cu 0.0000 0.0000 0.0000  0.07

Calculated values
N(E_F): 1.618 states/eV per atom
Space-group type: Pm-3m (221)

Run two
Computed, not measured: a relaxed NaCuTc3 crystal at the PBE-GGA level of DFT.

Unit cell a=4.4647 b=4.4647 c=4.4647 alpha=90.00 beta=90.00 gamma=90.00
Each line ends with the local moment (μB).
Fractional coordinates of all 5 atoms:
Na 0.0000 0.0000 0.0000  0.06
Tc 0.0000 0.5000 0.0000  0.95
Tc 0.0000 0.0000 0.5000  0.99
Tc 0.5000 0.0000 0.0000  1.03
Cu 0.5000 0.5000 0.5000  0.04

Calculated values
N(E_F): 1.389 states/eV per atom
Space-group type: Pm-3m (221)

The least stable of them is run two.

Run one
Computed, not measured: a relaxed Na3CuTc crystal at the PBE-GGA level of DFT.

Unit cell a=5.7683 b=5.7683 c=5.7683 alpha=90.00 beta=90.00 gamma=90.00
Each line ends with the local moment (μB).
Fractional coordinates of all 5 atoms:
Na 0.0000 0.5000 0.0000  -0.02
Na 0.0000 0.0000 0.5000  -0.02
Na 0.5000 0.0000 0.0000  -0.01
Tc 0.0000 0.0000 0.0000  2.68
Cu 0.5000 0.5000 0.5000  0.01

Calculated values
N(E_F): 1.005 states/eV per atom
Space-group type: Pm-3m (221)

Run two
Computed, not measured: a relaxed Na3CuTc crystal at the PBE-GGA level of DFT.

Unit cell a=5.2698 b=5.2698 c=5.2698 alpha=90.00 beta=90.00 gamma=90.00
Each line ends with the local moment (μB).
Fractional coordinates of all 5 atoms:
Na 0.0000 0.5000 0.0000  -0.02
Na 0.0000 0.0000 0.5000  -0.02
Na 0.5000 0.0000 0.0000  -0.03
Tc 0.5000 0.5000 0.5000  3.32
Cu 0.0000 0.0000 0.0000  0.01

Calculated values
N(E_F): 0.820 states/eV per atom
Space-group type: Pm-3m (221)

The least stable of them is run one.

Run one
Computed, not measured: a relaxed NaZnCuTc2 crystal at the PBE-GGA level of DFT.

Unit cell a=4.6506 b=4.7149 c=4.6506 alpha=90.00 beta=90.00 gamma=90.00
Each line ends with the local moment (μB).
Fractional coordinates of all 5 atoms:
Na 0.0000 0.5000 0.0000  -0.02
Zn 0.5000 0.5000 0.5000  -0.04
Tc 0.0000 0.0000 0.5000  2.31
Tc 0.5000 0.0000 0.0000  1.92
Cu 0.0000 0.0000 0.0000  0.23

Calculated values
N(E_F): 1.115 states/eV per atom
Space-group type: P4/mmm (123)

Run two
Computed, not measured: a relaxed NaZnCuTc2 crystal at the PBE-GGA level of DFT.

Unit cell a=4.7049 b=4.5688 c=4.7049 alpha=90.00 beta=90.00 gamma=90.00
Each line ends with the local moment (μB).
Fractional coordinates of all 5 atoms:
Na 0.5000 0.5000 0.5000  -0.01
Zn 0.0000 0.5000 0.0000  -0.05
Tc 0.0000 0.0000 0.5000  2.47
Tc 0.5000 0.0000 0.0000  1.87
Cu 0.0000 0.0000 0.0000  0.20

Calculated values
N(E_F): 0.863 states/eV per atom
Space-group type: P4/mmm (123)

The least stable of them is run one.

Run one
Computed, not measured: a relaxed Na2CuTe2 crystal at the PBE-GGA level of DFT.

Unit cell a=9.9065 b=9.9065 c=14.3694 alpha=90.00 beta=90.00 gamma=90.00
Each line ends with the local moment (μB).
Fractional coordinates of all 5 atoms:
Na 0.5000 0.5000 0.6374  0.03
Na 0.5000 0.5000 0.3626  0.03
Cu 0.5000 0.5000 0.0000  0.25
Te 0.5000 0.5000 0.1649  0.32
Te 0.5000 0.5000 0.8351  0.32

Calculated values
N(E_F): 1.886 states/eV per atom
Space-group type: P4/mmm (123)

Run two
Computed, not measured: a relaxed Na2CuTe2 crystal at the PBE-GGA level of DFT.

Unit cell a=7.4824 b=7.4824 c=4.7674 alpha=90.00 beta=90.00 gamma=90.00
Fractional coordinates of all 10 atoms:
Na 0.1459 0.6459 0.5000
Na 0.6459 0.8541 0.5000
Na 0.8541 0.3541 0.5000
Na 0.3541 0.1459 0.5000
Te 0.3274 0.8274 0.0000
Te 0.8274 0.6726 0.0000
Te 0.6726 0.1726 0.0000
Te 0.1726 0.3274 0.0000
Cu 0.0000 0.0000 0.0000
Cu 0.5000 0.5000 0.0000

Calculated values
N(E_F): 0.675 states/eV per atom
Space-group type: P4/mbm (127)

Run three
Computed, not measured: a relaxed Na2CuTe2 crystal at the PBE-GGA level of DFT.

Unit cell a=4.5373 b=6.2732 c=10.1736 alpha=93.17 beta=77.12 gamma=68.80
Fractional coordinates of all 10 atoms:
Na 0.6579 0.3352 0.3490
Na 0.9245 0.2380 0.9129
Na 0.3421 0.6648 0.6510
Na 0.0755 0.7620 0.0871
Cu 0.6595 0.0270 0.6540
Cu 0.3405 0.9730 0.3460
Te 0.0812 0.2355 0.6020
Te 0.6718 0.7918 0.8645
Te 0.9188 0.7645 0.3980
Te 0.3282 0.2082 0.1355

Calculated values
N(E_F): 0.207 states/eV per atom
Space-group type: C2/m (12)

Run four
Computed, not measured: a relaxed Na2CuTe2 crystal at the PBE-GGA level of DFT.

Unit cell a=6.4004 b=6.6784 c=7.9359 alpha=114.88 beta=113.78 gamma=90.00
Fractional coordinates of all 10 atoms:
Na 0.8660 0.6771 0.7319
Na 0.1340 0.3229 0.2681
Na 0.6340 0.9452 0.2681
Na 0.3660 0.0548 0.7319
Cu 0.7500 0.5000 0.0000
Cu 0.2500 0.5000 0.0000
Te 0.3809 0.5922 0.7618
Te 0.6191 0.4078 0.2382
Te 0.1191 0.8303 0.2382
Te 0.8809 0.1697 0.7618

Calculated values
N(E_F): 0.890 states/eV per atom
Space-group type: Ibam (72)

The least stable of them is run one.